The following is a SCAN calculation of CrPtSCl2 at its PBEsol-relaxed geometry, from Alexandria.

Structure (CIF):
```
data_CrPtSCl2
_symmetry_space_group_name_H-M 'P 4/m m m'
_symmetry_Int_Tables_number 123
_symmetry_space_group_name_Hall '-P 4 2'
_cell_length_a 4.7381
_cell_length_b 4.7381
_cell_length_c 4.7262
_cell_angle_alpha 90.00
_cell_angle_beta 90.00
_cell_angle_gamma 90.00
loop_
_atom_site_label
_atom_site_fract_x
_atom_site_fract_y
_atom_site_fract_z
_atom_site_occupancy
Cr1 0.0000 0.0000 0.0000 1
Pt1 0.5000 0.5000 0.5000 1
S1 0.5000 0.5000 0.0000 1
Cl1 0.0000 0.5000 0.5000 1
```

Properties
Its energy is -1.6742 Ry/atom. The density of states at the Fermi level comes out at 3.0 states/eV per cell. For the magnetization, the calculation gives 0.858 μB/atom. Its formation energy without anion corrections is 0.05 eV per atom. Its calculated density is 5.48 Mg/m³.